Entry 1:
Ca2TaCu | GGA-PBEsol | optimized geometry

a = 3.411 Å, b = 3.411 Å, c = 9.856 Å
α = 80.04°, β = 80.04°, γ = 60.00°
Element x y z (fractional)
Ca1 0.988 0.988 0.037
Ca2 0.771 0.771 0.687
Ta1 0.231 0.231 0.306
Cu1 0.510 0.510 0.470

Properties
As for the density of states at the Fermi level: 3.533 states/eV/cell. Its formation enthalpy at 0 K is 0.585 eV per atom. For the electronic total energy, the calculation gives -4.70 eV per atom.

=====

Entry 2:
SrTeW2 | GGA-PBEsol | optimized geometry

a = 4.038 Å, b = 4.038 Å, c = 5.928 Å
α = 109.91°, β = 109.91°, γ = 90.00°
Element x y z (fractional)
W1 0.250 0.750 0.500
W2 0.750 0.250 0.500
Sr1 0.500 0.500 0.000
Te1 0.000 0.000 0.000

Properties
As for the density of states at the Fermi level: 3.806 states/eV/cell. Its formation energy from raw total energies is 1.0606 eV per atom. For the electronic total energy, the calculation gives -7.18 eV per atom.

=====

Entry 3:
YBe2Cu | GGA-PBEsol | optimized geometry

a = 3.773 Å, b = 3.773 Å, c = 5.251 Å
α = 68.95°, β = 68.95°, γ = 60.00°
Element x y z (fractional)
Cu1 0.500 0.500 0.500
Be1 0.806 0.806 0.582
Be2 0.194 0.194 0.418
Y1 0.000 0.000 0.000

Properties
As for the density of states at the Fermi level: 3.290 states/eV/cell. The value obtained for the offset from the most stable computed form is 0.000 eV/atom. Its formation enthalpy at 0 K is -0.114 eV per atom. For the electronic total energy, the calculation gives -4.90 eV per atom.

=====

Entry 4:
BaSr2Y | GGA-PBEsol | optimized geometry

a = 6.331 Å, b = 6.331 Å, c = 6.331 Å
α = 60.00°, β = 60.00°, γ = 60.00°
Element x y z (fractional)
Sr1 0.250 0.250 0.250
Sr2 0.750 0.750 0.750
Ba1 0.000 0.000 0.000
Y1 0.500 0.500 0.500

Properties
As for the density of states at the Fermi level: 5.089 states/eV/cell. The value obtained for the offset from the most stable computed form is 0.025 eV/atom. Its formation enthalpy at 0 K is 0.194 eV per atom. For the electronic total energy, the calculation gives -2.97 eV per atom.

=====

Entry 5:
MgCr | GGA-PBEsol | optimized geometry

a = 4.499 Å, b = 4.499 Å, c = 4.499 Å
α = 60.00°, β = 60.00°, γ = 60.00°
Each line ends with the local moment (μB).
Element x y z (fractional)
Cr1 0.000 0.000 0.000  4.12
Mg1 0.250 0.250 0.250  0.02

Properties
As for the density of states at the Fermi level: 1.361 states/eV/cell. Its formation enthalpy at 0 K is 1.872 eV per atom. For the electronic total energy, the calculation gives -4.11 eV per atom.

=====

Entry 6:
Cu4Pt7 | GGA-PBEsol | optimized geometry

a = 4.641 Å, b = 4.695 Å, c = 7.119 Å
α = 83.49°, β = 89.96°, γ = 80.67°
Element x y z (fractional)
Cu1 0.320 0.591 0.135
Cu2 0.592 0.955 0.682
Cu3 0.408 0.045 0.318
Cu4 0.680 0.409 0.865
Pt1 0.767 0.864 0.044
Pt2 0.954 0.775 0.407
Pt3 0.500 0.500 0.500
Pt4 0.046 0.225 0.593
Pt5 0.139 0.680 0.775
Pt6 0.861 0.320 0.225
Pt7 0.233 0.136 0.956

Properties
As for the density of states at the Fermi level: 10.766 states/eV/cell. The value obtained for the offset from the most stable computed form is 0.000 eV/atom. Its formation enthalpy at 0 K is -0.096 eV per atom. For the electronic total energy, the calculation gives -6.10 eV per atom.

=====

Entry 7:
MnMoRh2 | GGA-PBEsol | optimized geometry

a = 4.296 Å, b = 4.296 Å, c = 4.296 Å
α = 60.00°, β = 60.00°, γ = 60.00°
Each line ends with the local moment (μB).
Element x y z (fractional)
Mo1 0.500 0.500 0.500  -0.30
Rh1 0.750 0.750 0.750  0.18
Rh2 0.250 0.250 0.250  0.18
Mn1 0.000 0.000 0.000  3.50

Properties
As for the density of states at the Fermi level: 5.959 states/eV/cell. The value obtained for the offset from the most stable computed form is 0.256 eV/atom. Its formation enthalpy at 0 K is 0.109 eV per atom. For the electronic total energy, the calculation gives -9.34 eV per atom.

=====

Entry 8:
GdCo12B6 | GGA-PBEsol | optimized geometry

a = 5.884 Å, b = 5.884 Å, c = 5.884 Å
α = 104.04°, β = 104.04°, γ = 104.04°
Each line ends with the local moment (μB).
Element x y z (fractional)
B1 0.678 0.233 0.233  -0.04
B2 0.767 0.322 0.767  -0.04
B3 0.233 0.678 0.233  -0.04
B4 0.322 0.767 0.767  -0.04
B5 0.767 0.767 0.322  -0.04
B6 0.233 0.233 0.678  -0.04
Gd1 0.000 0.000 0.000  6.84
Co1 0.868 0.500 0.132  0.30
Co2 0.814 0.544 0.544  0.81
Co3 0.544 0.814 0.544  0.81
Co4 0.500 0.868 0.132  0.30
Co5 0.456 0.456 0.186  0.81
Co6 0.132 0.868 0.500  0.30
Co7 0.500 0.132 0.868  0.30
Co8 0.544 0.544 0.814  0.81
Co9 0.868 0.132 0.500  0.30
Co10 0.186 0.456 0.456  0.81
Co11 0.132 0.500 0.868  0.30
Co12 0.456 0.186 0.456  0.81

Properties
As for the density of states at the Fermi level: 12.994 states/eV/cell. Its formation enthalpy at 0 K is -0.411 eV per atom. For the electronic total energy, the calculation gives -8.27 eV per atom.